[1]
Below is a relaxed Rb2DyNp3O12 crystal, with properties calculated at the PBE level.

* D(E_F): 31.59 states/eV per cell
* total energy: -8.57 eV per atom
* formation energy without anion corrections: -2743.4 meV per atom

Structure (CIF):
```
data_Rb2DyNp3O12
_cell_length_a 7.9837
_cell_length_b 7.9837
_cell_length_c 18.7528
_cell_angle_alpha 90.00
_cell_angle_beta 90.00
_cell_angle_gamma 120.00
_symmetry_space_group_name_H-M 'R -3 m'
_symmetry_Int_Tables_number 166
_symmetry_space_group_name_Hall '-R 3 2"'
loop_
_atom_site_label
_atom_site_type_symbol
_atom_site_fract_x
_atom_site_fract_y
_atom_site_fract_z
Rb1 Rb 0.0000 0.0000 0.1248
Dy1 Dy 0.0000 0.0000 0.5000
Np1 Np 0.0000 0.5000 0.0000
O1 O 0.0577 0.5288 0.1015
O2 O 0.0788 0.5394 0.3505
```

=====

[2]
Below is a relaxed PmEuAl crystal, with properties calculated at the PBE level.

* formation energy from the elements: -8.0 kJ per mole of atoms
* D(E_F): 2.50 states/eV per cell
* energy above the lowest structure with this stoichiometry: 0.0800 eV per atom
* total energy: -6.34 eV per atom

Structure (CIF):
```
data_PmEuAl
_cell_length_a 5.2543
_cell_length_b 5.2543
_cell_length_c 3.5670
_cell_angle_alpha 90.00
_cell_angle_beta 90.00
_cell_angle_gamma 120.00
_symmetry_space_group_name_H-M 'P 3 m 1'
_symmetry_Int_Tables_number 156
_symmetry_space_group_name_Hall 'P 3 -2"'
loop_
_atom_site_label
_atom_site_type_symbol
_atom_site_fract_x
_atom_site_fract_y
_atom_site_fract_z
Pm1 Pm 0.0000 0.0000 0.0000
Eu1 Eu 0.6667 0.3333 0.3857
Al1 Al 0.3333 0.6667 0.7097
```

=====

[3]
Below is a relaxed LiCaBO3 crystal, with properties calculated at the PBE level.

* D(E_F): 0.00 states/eV per cell
* total energy: -6.91 eV per atom
* formation energy without anion corrections: -2662.3 meV per atom

Structure (CIF):
```
data_LiCaBO3
_cell_length_a 6.132
_cell_length_b 13.312
_cell_length_c 6.266
_cell_angle_alpha 90.00
_cell_angle_beta 90.00
_cell_angle_gamma 90.00
_symmetry_space_group_name_H-M 'P b c a'
_symmetry_Int_Tables_number 61
_symmetry_space_group_name_Hall '-P 2ac 2ab'
loop_
_atom_site_label
_atom_site_type_symbol
_atom_site_fract_x
_atom_site_fract_y
_atom_site_fract_z
Li1 Li 0.018 0.248 0.203
Ca1 Ca 0.250 0.070 0.487
B1 B 0.249 0.148 0.978
O1 O 0.101 0.595 0.855
O2 O 0.118 0.095 0.123
O3 O 0.229 0.249 0.456
```